## KTaV2O8 (PBE+U)

Data for an optimized crystal structure of KTaV2O8.

Unit cell a=5.926 b=5.926 c=5.926 alpha=105.14 beta=105.14 gamma=118.52
Positions (direct):
K: 0.000 0.000 0.000
Ta: 0.250 0.750 0.500
V: 0.750 0.250 0.500
V: 0.500 0.500 0.000
O: 0.375 0.042 0.333
O: 0.351 0.561 0.211
O: 0.351 0.140 0.789
O: 0.710 0.042 0.667
O: 0.860 0.649 0.211
O: 0.958 0.290 0.333
O: 0.958 0.625 0.667
O: 0.439 0.649 0.789

## Properties
Space group   No. 119
Total magnetic moment   0.000 μB per formula unit
Final energy   -7.602 eV per atom